(1)
Na4CdAu: optimized geometry, PBE.

The structure in POSCAR format:
```
Na4CdAu
1.0
7.583 0.000 0.000
0.000 3.535 3.535
0.000 -3.535 3.535
Na Cd Au
4 1 1
Direct
0.228 0.250 0.750
0.228 0.750 0.250
0.772 0.250 0.750
0.772 0.750 0.250
0.500 0.249 0.249
0.000 0.750 0.750
```

Properties
The distance to the lowest polymorph of the same formula is 0.087 eV/atom. The space group is Amm2 (38). As for the total energy: -1.65 eV/atom. As for the calculated formation energy: -0.07 eV per atom.

=====

(2)
PmTmGa2: optimized geometry, PBE.

The structure in POSCAR format:
```
PmTmGa2
1.0
3.599 0.000 0.000
0.000 3.599 0.000
0.000 0.000 7.164
Pm Tm Ga
1 1 2
Direct
0.000 0.000 0.000
0.000 0.000 0.500
0.500 0.500 0.267
0.500 0.500 0.733
```

Properties
The space group is P4/mmm (123). As for the total energy: -4.40 eV/atom. As for the calculated formation energy: -0.58 eV per atom.

=====

(3)
YErSc: optimized geometry, PBE.

The structure in POSCAR format:
```
YErSc
1.0
0.000 4.834 6.133
3.141 0.000 6.133
3.141 4.834 0.000
Y Er Sc
2 2 2
Direct
0.250 0.250 0.250
0.750 0.750 0.750
0.176 0.824 0.176
0.824 0.176 0.824
0.384 0.384 0.616
0.616 0.616 0.384
```

Properties
The distance to the lowest polymorph of the same formula is 0.248 eV/atom. The space group is Fmmm (69). As for the total energy: -5.49 eV/atom. As for the calculated formation energy: 0.30 eV per atom.

=====

(4)
SiTcRuC: optimized geometry, PBE.

The structure in POSCAR format:
```
SiTcRuC
1.0
5.596 -1.457 0.000
5.596 1.457 0.000
-0.158 0.000 2.855
Si Tc Ru C
1 1 1 1
Direct
0.000 0.000 0.000
0.661 0.661 0.390
0.383 0.383 0.477
0.234 0.234 0.931
```

Properties
The value obtained for the uncorrected formation energy is -0.22 kcal/mol of atoms. The distance to the lowest polymorph of the same formula is 0.014 eV/atom. The space group is Cm (8). As for the total energy: -8.58 eV/atom.